1.
Tl2AuS, optimized geometry, DFT PBE-GGA; crystal system = tetragonal; Fermi-level density of states = 0.193 states/eV/atom; E above lowest polymorph = 74 meV/atom
1.0
7.0098 0.0000 0.0000
0.0000 7.0098 0.0000
3.5049 3.5049 5.2696
Tl Au S
4 2 2
direct
0.6183 0.1250 0.2500
0.1317 0.6250 0.2500
0.3750 0.3817 0.7500
0.8750 0.8683 0.7500
0.0000 0.0000 0.0000
0.7500 0.2500 0.5000
0.5000 0.5000 0.0000
0.2500 0.7500 0.5000

2.
NaSr2CuSi, optimized geometry, DFT PBE-GGA; crystal system = tetragonal; total DFT energy (no corrections) = -2.920 eV per atom; Fermi-level density of states = 0.274 states/eV/atom
1.0
6.0052 0.0000 0.0000
0.0000 6.0052 0.0000
0.0000 0.0000 4.4280
Sr Si Cu Na
2 1 1 1
direct
0.0000 0.5000 0.0000
0.5000 0.0000 0.0000
0.0000 0.0000 0.5000
0.0000 0.0000 0.0000
0.5000 0.5000 0.5000

3.
Ac8Te4AsSe3, optimized geometry, DFT PBE-GGA; crystal system = trigonal; total DFT energy (no corrections) = -5.440 eV per atom; Fermi-level density of states = 0.442 states/eV/atom
1.0
-7.2782 -3.0751 -4.6264
-0.9154 -6.9821 6.0810
0.1757 8.6328 3.0457
Ac Te As Se
8 4 1 3
direct
0.2391 0.7227 0.9836
0.2391 0.7226 0.4782
0.2587 0.2761 0.5174
0.7445 0.7227 0.9836
0.2555 0.2773 0.0164
0.7413 0.7239 0.4826
0.7609 0.2774 0.5218
0.7609 0.2773 0.0164
0.5000 0.0000 0.0000
0.5000 0.0000 0.5000
0.0000 0.0000 0.0000
0.0000 0.0000 0.5000
0.0000 0.5000 0.0000
0.5000 0.5000 0.0000
0.5000 0.5000 0.5000
0.0000 0.5000 0.5000

4.
LiMgPa, optimized geometry, DFT PBE-GGA; crystal system = trigonal; energy of formation from the pure elements = 0.1278 eV per atom; Fermi-level density of states = 1.343 states/eV/atom
1.0
-1.1682 2.8235 0.4699
-0.6382 -2.2863 1.9807
6.6422 2.0066 4.4563
Mg Pa Li
1 1 1
direct
0.3333 0.6667 0.6541
0.0000 0.0000 0.0001
0.6667 0.3333 0.3458

5.
BaBe2Mo, optimized geometry, DFT PBE-GGA; crystal system = monoclinic; energy of formation from the pure elements = 0.4788 eV per atom; Fermi-level density of states = 0.889 states/eV/atom; E above lowest polymorph = 18 meV/atom
1.0
-2.1887 0.8387 3.0699
0.9528 -1.3819 3.4786
2.9816 4.8189 3.2631
Be Mo Ba
2 1 1
direct
0.0635 0.0635 0.8093
0.7346 0.7346 0.7971
0.4492 0.4492 0.6545
0.2528 0.2528 0.2391

6.
Er2PuTe3, optimized geometry, DFT PBE-GGA; crystal system = orthorhombic; Fermi-level density of states = 1.651 states/eV/atom; E above lowest polymorph = 164 meV/atom
1.0
4.3791 0.0000 0.0000
0.0000 6.0910 0.0000
0.0000 -3.0455 7.3093
Er Pu Te
2 1 3
direct
0.5000 0.3595 0.7191
0.5000 0.6405 0.2809
0.0000 0.0000 0.0000
0.5000 0.8459 0.6917
0.5000 0.1541 0.3083
0.0000 0.5000 0.0000

7.
Ce4CSI2, optimized geometry, DFT PBE-GGA; crystal system = monoclinic; total DFT energy (no corrections) = -6.054 eV per atom; Fermi-level density of states = 2.548 states/eV/atom
1.0
3.9395 0.0000 0.0000
0.0000 6.9621 0.1625
0.0000 -2.4196 7.6261
Ce C S I
4 1 1 2
direct
0.5000 0.2545 0.1858
0.5000 0.7455 0.8142
0.0000 0.2963 0.8216
0.0000 0.7037 0.1784
0.5000 0.5000 0.0000
0.0000 0.0000 0.0000
0.5000 0.0000 0.5000
0.0000 0.5000 0.5000

8.
NdMgGa2Pd5, optimized geometry, DFT PBE-GGA; crystal system = tetragonal; energy of formation from the pure elements = -0.6349 eV per atom; Fermi-level density of states = 0.198 states/eV/atom
1.0
-0.5814 3.9779 -1.2101
-4.1515 -0.4879 0.3910
0.5105 2.7783 8.8878
Nd Mg Ga Pd
1 1 2 5
direct
0.0000 0.0000 0.5000
0.0000 0.0000 0.0000
0.5000 0.5000 0.1302
0.5000 0.5000 0.8698
0.0000 0.5000 0.2702
0.5000 0.0000 0.2702
0.0000 0.5000 0.7298
0.5000 0.0000 0.7298
0.5000 0.5000 0.5000

- Fermi-level density of states of number 1 (Tl2AuS)?
  0.193 states/eV/atom

- The highest Fermi-level density of states belongs to which entry?
  Ce4CSI2

- Which value of Fermi-level density of states does entry 1 give?
  0.193 states/eV/atom

- Which value of Fermi-level density of states does entry 4 give?
  1.343 states/eV/atom